No. 1
{"formula": "LaSi2TcNi", "functional": "PBE", "state": "optimized geometry", "final_energy_ev_per_cell": -35.45, "total_magnetization_mub_per_fu": 0.0, "mass_density_g_cm3": 6.69, "crystal_system": "tetragonal", "e_form_raw_kj_per_mol_atoms": -68, "n_ef_per_ev_fu": 4.22, "lattice_angstrom": [[4.1268, 0.0000, 0.0000], [0.0000, 4.1268, 0.0000], [-2.0634, -2.0634, 5.1293]], "species": ["Tc", "La", "Si", "Si", "Ni"], "fractional_positions": [[0.2500, 0.7500, 0.5000], [0.0000, 0.0000, 0.0000], [0.6320, 0.6320, 0.2639], [0.3680, 0.3680, 0.7361], [0.7500, 0.2500, 0.5000]]}


No. 2
{"formula": "CaCe3Pb5", "functional": "PBE", "state": "optimized geometry", "final_energy_ev_per_cell": -83.78, "total_magnetization_mub_per_fu": 2.2, "mass_density_g_cm3": 9.19, "crystal_system": "hexagonal", "ef_ev_per_atom": -0.394, "n_ef_per_ev_fu": 19.65, "lattice_angstrom": [[6.7120, 0.0000, 0.0000], [0.0000, 9.6431, 0.0000], [0.0000, -4.8215, 8.3511]], "species": ["Pb", "Pb", "Pb", "Pb", "Ce", "Pb", "Ce", "Ce", "Ce", "Ca", "Pb", "Ce", "Ca", "Ce", "Pb", "Pb", "Pb", "Pb"], "fractional_positions": [[0.5000, 0.6667, 0.3333], [0.2500, 0.0000, 0.2905], [0.7500, 0.0000, 0.7095], [0.0000, 0.3333, 0.6667], [0.7500, 0.0000, 0.3801], [0.5000, 0.3333, 0.6667], [0.2500, 0.0000, 0.6199], [0.2500, 0.3801, 0.3801], [0.7500, 0.3801, 0.0000], [0.0000, 0.0000, 0.0000], [0.0000, 0.6667, 0.3333], [0.2500, 0.6199, 0.0000], [0.5000, 0.0000, 0.0000], [0.7500, 0.6199, 0.6199], [0.2500, 0.2905, 0.0000], [0.7500, 0.7095, 0.0000], [0.7500, 0.2905, 0.2905], [0.2500, 0.7095, 0.7095]]}


No. 3
{"formula": "Ca2FeN", "functional": "PBE", "state": "optimized geometry", "final_energy_ev_per_cell": -18.13, "total_magnetization_mub_per_fu": 2.9, "mass_density_g_cm3": 3.39, "crystal_system": "cubic", "e_form_raw_kj_per_mol_atoms": 64, "de_polymorph_mev_per_atom": 1050, "n_ef_per_ev_fu": 17.31, "lattice_angstrom": [[0.6862, -4.1049, 2.1871], [-3.3130, -3.3321, -0.1610], [0.7183, -3.9098, -2.5103]], "species": ["Ca", "Fe", "Ca", "N"], "fractional_positions": [[0.7500, 0.7500, 0.7500], [0.5000, 0.5000, 0.5000], [0.2500, 0.2500, 0.2500], [0.0000, 0.0000, 0.0000]]}


No. 4
{"formula": "CdTeH", "functional": "PBE", "state": "optimized geometry", "final_energy_ev_per_cell": -14.72, "total_magnetization_mub_per_fu": 0.0, "mass_density_g_cm3": 4.68, "crystal_system": "monoclinic", "lattice_angstrom": [[-1.7842, 2.5453, -3.5548], [6.2928, -6.6103, -7.8843], [-2.8518, -1.6735, 3.3644]], "species": ["H", "Te", "Cd", "H", "Te", "Cd"], "fractional_positions": [[0.3577, 0.5239, 0.7137], [0.5491, 0.7146, 0.0953], [0.3471, 0.8462, 0.6917], [0.6423, 0.4761, 0.2863], [0.4509, 0.2854, 0.9047], [0.6529, 0.1538, 0.3083]]}


No. 5
{"formula": "HoPt10Pb", "functional": "PBE", "state": "optimized geometry", "final_energy_ev_per_cell": -73.25, "total_magnetization_mub_per_fu": 0.0, "mass_density_g_cm3": 17.26, "crystal_system": "orthorhombic", "ef_ev_per_atom": -0.379, "n_ef_per_ev_fu": 8.20, "lattice_angstrom": [[4.4530, 0.0000, 0.0000], [0.0000, 5.4056, 0.0000], [0.0000, 0.0000, 9.2817]], "species": ["Ho", "Pb", "Pt", "Pt", "Pt", "Pt", "Pt", "Pt", "Pt", "Pt", "Pt", "Pt"], "fractional_positions": [[0.0000, 0.5000, 0.5000], [0.0000, 0.0000, 0.0000], [0.5000, 0.0000, 0.5000], [0.5000, 0.7462, 0.7439], [0.0000, 0.0000, 0.6647], [0.0000, 0.0000, 0.3353], [0.0000, 0.5000, 0.1688], [0.5000, 0.7462, 0.2561], [0.5000, 0.2538, 0.7439], [0.5000, 0.5000, 0.0000], [0.5000, 0.2538, 0.2561], [0.0000, 0.5000, 0.8312]]}


No. 6
{"formula": "CaRhPb2", "functional": "PBE", "state": "optimized geometry", "final_energy_ev_per_cell": -17.82, "total_magnetization_mub_per_fu": 0.0, "mass_density_g_cm3": 9.20, "crystal_system": "trigonal", "ef_ev_per_atom": -0.263, "n_ef_per_ev_fu": 2.02, "lattice_angstrom": [[5.9803, -0.9284, -0.5568], [4.8992, 3.5530, -0.5568], [4.8992, 1.1819, 3.3966]], "species": ["Rh", "Ca", "Pb", "Pb"], "fractional_positions": [[0.2500, 0.2500, 0.2500], [0.7500, 0.7500, 0.7500], [0.5229, 0.5229, 0.5229], [0.9771, 0.9771, 0.9771]]}


No. 7
{"formula": "TbBi2P2Pt7", "functional": "PBE", "state": "optimized geometry", "final_energy_ev_per_cell": -73.41, "total_magnetization_mub_per_fu": 0.0, "mass_density_g_cm3": 13.84, "crystal_system": "tetragonal", "ef_ev_per_atom": -0.660, "n_ef_per_ev_fu": 2.93, "lattice_angstrom": [[-0.2871, 2.7580, -2.9206], [-3.6597, -1.3865, -0.9502], [-8.0792, 10.2129, 7.6530]], "species": ["Bi", "Pt", "P", "Tb", "Pt", "Pt", "P", "Pt", "Pt", "Pt", "Bi", "Pt"], "fractional_positions": [[0.2106, 0.2106, 0.5796], [0.4257, 0.9259, 0.1474], [0.3829, 0.3829, 0.2335], [0.0000, 0.0000, 0.0000], [0.5000, 0.5000, 0.0000], [0.5743, 0.0741, 0.8526], [0.6172, 0.6172, 0.7665], [0.0741, 0.5743, 0.8526], [0.3062, 0.3062, 0.3876], [0.9259, 0.4257, 0.1474], [0.7894, 0.7894, 0.4204], [0.6938, 0.6938, 0.6124]]}


No. 8
{"formula": "Rb2Cd4Sn5", "functional": "PBE", "state": "optimized geometry", "final_energy_ev_per_cell": -26.09, "total_magnetization_mub_per_fu": 0.0, "mass_density_g_cm3": 5.64, "crystal_system": "orthorhombic", "ef_ev_per_atom": -0.044, "n_ef_per_ev_fu": 6.33, "lattice_angstrom": [[6.8698, 0.0000, 0.0000], [3.4349, 5.8545, 0.0000], [3.4349, 0.0000, 8.8926]], "species": ["Cd", "Rb", "Sn", "Cd", "Sn", "Sn", "Cd", "Sn", "Cd", "Rb", "Sn"], "fractional_positions": [[0.5089, 0.7102, 0.2721], [0.1265, 0.0000, 0.7471], [0.7500, 0.5000, 0.5000], [0.2191, 0.2898, 0.2721], [0.0000, 0.5000, 0.0000], [0.5000, 0.0000, 0.0000], [0.7809, 0.7102, 0.7279], [0.2500, 0.5000, 0.5000], [0.4911, 0.2898, 0.7279], [0.8735, 0.0000, 0.2529], [0.5000, 0.5000, 0.0000]]}